VASP calculation (PBE+U) on an optimized crystal structure of CaAc2CoO5.

Summary:
Its final energy is -62.56 eV/f.u. As for the space-group type: P4/mbm (127).

abc: 7.0331 7.0331 5.7351
angles: 90.00 90.00 90.00
Last column: nearest neighbours and their distance in Å.
Positions (direct):
Ca: 0.0000 0.0000 0.0000  10 O 2.87-3.02
Ca: 0.5000 0.5000 0.0000  10 O 2.87-3.02
Ac: 0.1737 0.3263 0.5000  8 O 2.44-2.71
Ac: 0.3263 0.8263 0.5000  8 O 2.44-2.71
Ac: 0.6737 0.1737 0.5000  8 O 2.44-2.71
Ac: 0.8263 0.6737 0.5000  8 O 2.44-2.71
Co: 0.0000 0.5000 0.0000  4 O 1.89
Co: 0.5000 0.0000 0.0000  4 O 1.89
O: 0.0000 0.0000 0.5000  4 Ac 2.60, 2 Ca 2.87
O: 0.1380 0.6380 0.2267  1 Co 1.89
O: 0.1380 0.6380 0.7733  1 Co 1.89
O: 0.3620 0.1380 0.2267  1 Co 1.89
O: 0.3620 0.1380 0.7733  1 Co 1.89
O: 0.5000 0.5000 0.5000  4 Ac 2.60, 2 Ca 2.87
O: 0.6380 0.8620 0.2267  1 Co 1.89
O: 0.6380 0.8620 0.7733  1 Co 1.89
O: 0.8620 0.3620 0.2267  1 Co 1.89
O: 0.8620 0.3620 0.7733  1 Co 1.89